# Mg2NiIO6 (GGA+U, optimized geometry)
data_Mg2NiIO6
_chemical_formula_sum 'Mg6 Ni3 I3 O18'
_cell_length_a 5.2582
_cell_length_b 5.2582
_cell_length_c 14.0583
_cell_angle_alpha 90.00
_cell_angle_beta 90.00
_cell_angle_gamma 120.00
_space_group_name_H-M_alt 'R 3'
_space_group_IT_number 146
_space_group_name_Hall 'R 3'
loop_
_atom_site_label
_atom_site_type_symbol
_atom_site_fract_x
_atom_site_fract_y
_atom_site_fract_z
_atom_site_occupancy
Mg1 Mg 0.0000 0.0000 0.0000 1
Mg2 Mg 0.0000 0.0000 0.4946 1
Ni1 Ni 0.0000 0.0000 0.2058 1
I1 I 0.0000 0.0000 0.6999 1
O1 O 0.0366 0.3553 0.7704 1
O2 O 0.0422 0.6709 0.2740 1
# Uncorrected energy (eV/cell): -152.99
# Volume (Å³ per atom): 11.22